A relaxed Tl3Te2Se4 crystal, computed with PBE-GGA.

Geometry as POSCAR:
```
Tl3Te2Se4
1.0
-3.7394 -3.9070 -6.0185
7.5213 -5.4181 -0.1887
-0.0676 -7.2831 5.7370
Tl Se Te
6 8 4
direct
0.7500 0.4396 0.5604
0.2500 0.5604 0.4396
0.4113 0.7226 0.0016
0.9113 0.0016 0.7226
0.0887 0.9984 0.2774
0.5887 0.2774 0.9984
0.5501 0.0792 0.7800
0.4499 0.9208 0.2200
0.0079 0.6979 0.6240
0.9499 0.2200 0.9208
0.0501 0.7800 0.0792
0.5079 0.6240 0.6979
0.4921 0.3760 0.3021
0.9921 0.3021 0.3760
0.1429 0.4695 0.8665
0.6429 0.8665 0.4695
0.3571 0.1335 0.5305
0.8571 0.5305 0.1335
```

Computed properties:
Energy above the most stable polymorph in this dataset: 19 kJ/mol of formula units

A relaxed NaTmCuS2 crystal, computed with PBE-GGA.

Geometry as POSCAR:
```
NaTmCuS2
1.0
-1.7286 -0.6052 4.1336
1.4925 -6.5191 -0.3303
6.3922 2.5671 3.0490
S Cu Na Tm
4 2 2 2
direct
0.3187 0.2582 0.0341
0.6813 0.7418 0.9659
0.6813 0.2582 0.5341
0.3187 0.7418 0.4659
0.0000 0.0000 0.0000
0.0000 0.0000 0.5000
0.1428 0.5000 0.7500
0.8572 0.5000 0.2500
0.5080 0.0000 0.7500
0.4920 0.0000 0.2500
```

A relaxed Nd6TlBi2Te3 crystal, computed with PBE-GGA.

Geometry as POSCAR:
```
Nd6TlBi2Te3
1.0
4.5268 0.0000 0.0000
0.0000 9.1390 0.3573
-2.2634 -2.6018 9.5608
Nd Tl Bi Te
6 1 2 3
direct
0.0006 0.7548 0.0012
0.9994 0.2452 0.9988
0.3326 0.4178 0.6652
0.3365 0.9177 0.6730
0.6674 0.5822 0.3348
0.6635 0.0823 0.3270
0.5000 0.0000 0.0000
0.8336 0.6664 0.6672
0.1664 0.3336 0.3328
0.1687 0.8335 0.3374
0.5000 0.5000 0.0000
0.8313 0.1665 0.6626
```

Number 1: total moment 0.0 Bohr magnetons per cell, formation energy from raw total energies -148 meV per atom. Number 2: total moment 0.0 Bohr magnetons per cell, formation energy from raw total energies -1024 meV per atom. Number 3: total moment 0.0 Bohr magnetons per cell, formation energy from raw total energies -1104 meV per atom.